First-principles (PBE-GGA) data for a relaxed structure of Co3Ir, as listed in the Alexandria database.

Lattice parameters (Å, degrees): 4.137 5.169 4.468 90.00 90.00 90.00
Space group Pmmn (No. 59, origin choice 2)
Symmetry-distinct sites (fractional):
Co: 0.250 0.001 0.163
Co: 0.250 0.750 0.674
Ir: 0.250 0.250 0.666

## Properties
**VASP energy**: -7.5262 eV/atom


First-principles (PBE-GGA) data for a relaxed structure of BaAlAg, as listed in the Alexandria database.

Lattice parameters (Å, degrees): 7.659 7.659 7.659 90.00 90.00 90.00
Space group F-43m (No. 216)
Symmetry-distinct sites (fractional):
Ba: 0.000 0.000 0.000
Al: 0.250 0.250 0.250
Ag: 0.250 0.250 0.750

## Properties
**VASP energy**: -2.3218 eV/atom


First-principles (PBE-GGA) data for a relaxed structure of AcNdTm4, as listed in the Alexandria database.

Lattice parameters (Å, degrees): 11.524 8.147 9.554 90.00 117.02 90.00
Space group C2/m (No. 12)
Symmetry-distinct sites (fractional):
Ac: 0.069 0.000 0.355
Nd: 0.096 0.500 0.304
Tm: 0.000 0.210 0.000
Tm: 0.169 0.295 0.676
Tm: 0.236 0.500 0.023

## Properties
**Energy above the lowest structure with this stoichiometry**: 0 meV per atom


First-principles (PBE-GGA) data for a relaxed structure of Te2POs, as listed in the Alexandria database.

Lattice parameters (Å, degrees): 3.058 3.856 15.932 90.00 90.00 90.00
Space group Immm (No. 71)
Symmetry-distinct sites (fractional):
Te: 0.000 0.000 0.152
P: 0.000 0.500 0.000
Os: 0.000 0.500 0.500

## Properties
**Energy above the lowest structure with this stoichiometry**: 301 meV per atom
**Uncorrected formation energy**: 0.3984 eV per atom


First-principles (PBE-GGA) data for a relaxed structure of Rb2YScTe4, as listed in the Alexandria database.

Lattice parameters (Å, degrees): 7.690 4.437 8.894 90.00 106.71 90.00
Space group P2/m (No. 10)
Symmetry-distinct sites (fractional):
Rb: 0.000 0.000 0.000
Rb: 0.500 0.500 0.000
Y: 0.000 0.500 0.500
Sc: 0.500 0.000 0.500
Te: 0.243 0.000 0.697
Te: 0.280 0.500 0.308

## Properties
**Uncorrected formation energy**: -1.3120 eV per atom


First-principles (PBE-GGA) data for a relaxed structure of ScRuSN2, as listed in the Alexandria database.

Lattice parameters (Å, degrees): 3.984 3.984 5.120 90.00 90.00 90.00
Space group P4/mmm (No. 123)
Symmetry-distinct sites (fractional):
Sc: 0.000 0.000 0.000
Ru: 0.500 0.500 0.500
S: 0.000 0.000 0.500
N: 0.000 0.500 0.000

## Properties
**Energy above the lowest structure with this stoichiometry**: 1071 meV per atom
**Uncorrected formation energy**: 1.1122 eV per atom


First-principles (PBE-GGA) data for a relaxed structure of CaY, as listed in the Alexandria database.

Lattice parameters (Å, degrees): 9.473 9.796 12.809 90.00 90.00 90.00
Space group Fddd (No. 70, origin choice 2)
Symmetry-distinct sites (fractional):
Ca: 0.125 0.302 0.125
Y: 0.042 0.375 0.875

## Properties
**Energy above the lowest structure with this stoichiometry**: 382 meV per atom


First-principles (PBE-GGA) data for a relaxed structure of LiMgBe, as listed in the Alexandria database.

Lattice parameters (Å, degrees): 6.186 6.186 6.186 90.00 90.00 90.00
Space group F-43m (No. 216)
Symmetry-distinct sites (fractional):
Li: 0.000 0.000 0.000
Mg: 0.250 0.250 0.750
Be: 0.000 0.000 0.500

## Properties
**Energy above the lowest structure with this stoichiometry**: 549 meV per atom


First-principles (PBE-GGA) data for a relaxed structure of ReNi2P2, as listed in the Alexandria database.

Lattice parameters (Å, degrees): 6.294 6.294 3.093 90.00 90.00 90.00
Space group P4/mbm (No. 127)
Symmetry-distinct sites (fractional):
Re: 0.000 0.000 0.000
Ni: 0.141 0.359 0.500
P: 0.152 0.652 0.000

## Properties
**VASP energy**: -7.1631 eV/atom


First-principles (PBE-GGA) data for a relaxed structure of Na3Cd2Sn, as listed in the Alexandria database.

Lattice parameters (Å, degrees): 9.595 11.821 6.046 90.00 93.28 90.00
Space group C2/c (No. 15)
Symmetry-distinct sites (fractional):
Na: 0.000 0.233 0.250
Na: 0.198 0.482 0.486
Cd: 0.165 0.249 0.777
Sn: 0.000 0.031 0.750

## Properties
**Energy above the lowest structure with this stoichiometry**: 99 meV per atom


First-principles (PBE-GGA) data for a relaxed structure of CuRh2W, as listed in the Alexandria database.

Lattice parameters (Å, degrees): 4.376 5.518 4.658 90.00 90.00 90.00
Space group Pmmn (No. 59, origin choice 2)
Symmetry-distinct sites (fractional):
Cu: 0.250 0.250 0.176
Rh: 0.250 0.503 0.683
W: 0.250 0.750 0.166

## Properties
**Energy above the lowest structure with this stoichiometry**: 0 meV per atom


First-principles (PBE-GGA) data for a relaxed structure of NaGa12Cu4, as listed in the Alexandria database.

Lattice parameters (Å, degrees): 8.694 8.694 8.694 90.00 90.00 90.00
Space group Im-3 (No. 204)
Symmetry-distinct sites (fractional):
Na: 0.000 0.000 0.000
Ga: 0.000 0.345 0.156
Cu: 0.250 0.250 0.250

## Properties
**VASP energy**: -3.1177 eV/atom